Below is a geometry-optimized CaY3Mg structure, with properties calculated at the PBE-GGA level.

It has space group Pm-3m (No. 221), with a = 5.716 Å, b = 5.716 Å, c = 5.716 Å, α = 90.00°, β = 90.00° and γ = 90.00°. The asymmetric unit holds Ca at (0.000, 0.000, 0.000), Y at (0.000, 0.500, 0.500) and Mg at (0.500, 0.500, 0.500).

For the calculated volume, the calculation gives 186.74 Å³/f.u. The calculation puts the total energy at -20.601 eV for the cell shown.


Below is a geometry-optimized Ca2YMg structure, with properties calculated at the PBE-GGA level.

It has space group P4mm (No. 99), with a = 3.782 Å, b = 3.782 Å, c = 9.589 Å, α = 90.00°, β = 90.00° and γ = 90.00°. The asymmetric unit holds Ca at (0.000, 0.000, 0.000), Ca at (0.500, 0.500, 0.305), Y at (0.500, 0.500, 0.722) and Mg at (0.000, 0.000, 0.524).

For the calculated volume, the calculation gives 137.15 Å³/f.u. The calculation puts the total energy at -12.067 eV for the cell shown.


Below is a geometry-optimized Ca2YMg structure, with properties calculated at the PBE-GGA level.

It has space group Cmmm (No. 65), with a = 5.138 Å, b = 5.156 Å, c = 10.249 Å, α = 90.00°, β = 90.00° and γ = 90.00°. The asymmetric unit holds Ca at (0.000, 0.000, 0.230), Y at (0.000, 0.500, 0.500) and Mg at (0.000, 0.500, 0.000).

For the calculated volume, the calculation gives 135.78 Å³/f.u. The calculation puts the total energy at -23.721 eV for the cell shown.